Record 1
NaN2OF | Alexandria via LeMat-Bulk | PBE | optimized geometry; SG = No. 123; electronic total energy = -3.898 eV/atom; formation energy from raw total energies = 5.31 eV/f.u.
1.0
3.448 0.000 0.000
0.000 3.448 0.000
0.000 0.000 6.260
O N F Na
1 2 1 1
Direct
0.000 0.000 0.000 O
0.500 0.000 0.000 N
0.000 0.500 0.000 N
0.000 0.000 0.500 F
0.500 0.500 0.500 Na

Record 2
FeSi2Ir | Alexandria via LeMat-Bulk | PBE | optimized geometry; SG = No. 25; electronic total energy = -7.418 eV/atom; formation energy from raw total energies = -1.50 eV/f.u.
1.0
4.357 0.000 0.000
0.000 2.796 -0.001
0.000 0.002 4.122
Si Fe Ir
2 1 1
Direct
0.500 0.375 0.238 Si
0.000 0.875 0.025 Si
0.000 0.375 0.497 Fe
0.500 0.875 0.740 Ir